Entry 1:
A geometry-optimized RbBeAg structure. Source: the Alexandria database, functional PBE-GGA.

Output
Its polymorph energy (0 for the lowest one) is 0.085 eV per atom. The calculation puts the formation enthalpy at 0 K at 0.388 eV/atom. As for the symmetry: P1 (1).

a = 4.1861 Å, b = 5.5779 Å, c = 6.9063 Å
α = 113.34°, β = 90.19°, γ = 90.00°
Fractional coordinates of all 6 atoms:
Rb  0.0000  0.0000  0.0000
Rb  0.5000  0.4934  0.9992
Be  0.9983  0.3882  0.5125
Be  0.9986  0.8722  0.4868
Ag  0.4983  0.6373  0.5196
Ag  0.4990  0.1176  0.4797


Entry 2:
A geometry-optimized RbBeAg3 structure. Source: the Alexandria database, functional PBE-GGA.

Output
Its polymorph energy (0 for the lowest one) is 1.442 eV per atom. The calculation puts the formation enthalpy at 0 K at 1.728 eV/atom. As for the symmetry: Pm-3m (221).

a = 6.1002 Å, b = 6.1002 Å, c = 6.1002 Å
α = 90.00°, β = 90.00°, γ = 90.00°
Fractional coordinates of all 5 atoms:
Rb  0.0000  0.0000  0.0000
Be  0.5000  0.5000  0.5000
Ag  0.0000  0.0000  0.5000
Ag  0.0000  0.5000  0.0000
Ag  0.5000  0.0000  0.0000


Entry 3:
A geometry-optimized Rb2BeAg2 structure. Source: the Alexandria database, functional PBE-GGA.

Output
Its polymorph energy (0 for the lowest one) is 0.000 eV per atom. The calculation puts the formation enthalpy at 0 K at 0.580 eV/atom. As for the symmetry: I4/mmm (139).

a = 3.9528 Å, b = 3.9528 Å, c = 21.7162 Å
α = 90.00°, β = 90.00°, γ = 90.00°
Fractional coordinates of all 10 atoms:
Rb  0.0000  0.0000  0.1069
Rb  0.0000  0.0000  0.8931
Rb  0.5000  0.5000  0.3931
Rb  0.5000  0.5000  0.6069
Be  0.0000  0.0000  0.5000
Be  0.5000  0.5000  0.0000
Ag  0.0000  0.5000  0.2500
Ag  0.0000  0.5000  0.7500
Ag  0.5000  0.0000  0.2500
Ag  0.5000  0.0000  0.7500


Entry 4:
A geometry-optimized Rb2BeAg structure. Source: the Alexandria database, functional PBE-GGA.

Output
The calculation puts the formation enthalpy at 0 K at 0.796 eV/atom. As for the symmetry: I-42d (122).

a = 9.5569 Å, b = 9.5569 Å, c = 7.0640 Å
α = 90.00°, β = 90.00°, γ = 90.00°
Fractional coordinates of all 16 atoms:
Rb  0.2490  0.2500  0.1250
Rb  0.2500  0.7490  0.3750
Rb  0.2500  0.7510  0.8750
Rb  0.2510  0.2500  0.6250
Rb  0.7490  0.7500  0.6250
Rb  0.7500  0.2490  0.8750
Rb  0.7500  0.2510  0.3750
Rb  0.7510  0.7500  0.1250
Be  0.0000  0.0000  0.0000
Be  0.0000  0.5000  0.2500
Be  0.5000  0.0000  0.7500
Be  0.5000  0.5000  0.5000
Ag  0.0000  0.0000  0.5000
Ag  0.0000  0.5000  0.7500
Ag  0.5000  0.0000  0.2500
Ag  0.5000  0.5000  0.0000


Entry 5:
A geometry-optimized RbBeAg structure. Source: the Alexandria database, functional PBE-GGA.

Output
Its polymorph energy (0 for the lowest one) is 0.074 eV per atom. The calculation puts the formation enthalpy at 0 K at 0.377 eV/atom. As for the symmetry: P1 (1).

a = 4.4183 Å, b = 5.7737 Å, c = 7.1212 Å
α = 113.38°, β = 107.96°, γ = 90.18°
Fractional coordinates of all 6 atoms:
Rb  0.0000  0.0000  0.0000
Rb  0.4445  0.4462  0.8900
Be  0.4456  0.5451  0.4437
Be  0.4503  0.9108  0.4466
Ag  0.7817  0.2294  0.4449
Ag  0.9594  0.7287  0.4451


Entry 6:
A geometry-optimized RbBeAg structure. Source: the Alexandria database, functional PBE-GGA.

Output
Its polymorph energy (0 for the lowest one) is 0.000 eV per atom. The calculation puts the formation enthalpy at 0 K at 0.304 eV/atom. As for the symmetry: Ama2 (40).

a = 5.2063 Å, b = 20.7097 Å, c = 3.9710 Å
α = 90.00°, β = 90.00°, γ = 90.00°
Fractional coordinates of all 12 atoms:
Rb  0.2500  0.1467  0.0000
Rb  0.2500  0.6467  0.5000
Rb  0.7500  0.3533  0.5000
Rb  0.7500  0.8533  0.0000
Be  0.0000  0.0000  0.4933
Be  0.0000  0.5000  0.9933
Be  0.5000  0.0000  0.4933
Be  0.5000  0.5000  0.9933
Ag  0.2500  0.4780  0.4932
Ag  0.2500  0.9780  0.9932
Ag  0.7500  0.0220  0.9932
Ag  0.7500  0.5220  0.4932


Entry 7:
A geometry-optimized RbBeAg3 structure. Source: the Alexandria database, functional PBE-GGA.

Output
Its polymorph energy (0 for the lowest one) is 0.000 eV per atom. The calculation puts the formation enthalpy at 0 K at 0.287 eV/atom. As for the symmetry: Pm-3m (221).

a = 4.8684 Å, b = 4.8684 Å, c = 4.8684 Å
α = 90.00°, β = 90.00°, γ = 90.00°
Fractional coordinates of all 5 atoms:
Rb  0.0000  0.0000  0.0000
Be  0.5000  0.5000  0.5000
Ag  0.0000  0.5000  0.5000
Ag  0.5000  0.0000  0.5000
Ag  0.5000  0.5000  0.0000


Entry 8:
A geometry-optimized RbBeAg2 structure. Source: the Alexandria database, functional PBE-GGA.

Output
The calculation puts the formation enthalpy at 0 K at 0.345 eV/atom. As for the symmetry: I4_1/amd (141).

a = 5.5571 Å, b = 5.5571 Å, c = 15.4225 Å
α = 90.00°, β = 90.00°, γ = 90.00°
Fractional coordinates of all 16 atoms:
Rb  0.0000  0.2500  0.3750
Rb  0.0000  0.7500  0.6250
Rb  0.5000  0.2500  0.1250
Rb  0.5000  0.7500  0.8750
Be  0.0000  0.2500  0.8750
Be  0.0000  0.7500  0.1250
Be  0.5000  0.2500  0.6250
Be  0.5000  0.7500  0.3750
Ag  0.0000  0.0000  0.0000
Ag  0.0000  0.5000  0.0000
Ag  0.2500  0.2500  0.7500
Ag  0.2500  0.7500  0.2500
Ag  0.5000  0.0000  0.5000
Ag  0.5000  0.5000  0.5000
Ag  0.7500  0.2500  0.7500
Ag  0.7500  0.7500  0.2500


One value per record, in order, for final energy: -2.13; -0.92; -1.69; -1.33; -2.14; -2.21; -2.36; -2.25 eV per atom.